The following is a GGA-PBE calculation of LaHgN2O after structural relaxation, from Alexandria.

The uncorrected energy comes out at -4.69 eV per atom.

The structure belongs to space group P4/mmm (No. 123); the cell edges are 4.468, 4.468 and 4.420 Å and the angles 90.00°, 90.00° and 90.00°. The asymmetric unit holds La at (0.000, 0.000, 0.000), Hg at (0.500, 0.500, 0.500), N at (0.000, 0.500, 0.000) and O at (0.000, 0.000, 0.500).

The following is a GGA-PBE calculation of Sm2CuTe4 after structural relaxation, from Alexandria.

The value obtained for the distance to the lowest polymorph of the same formula is 16 meV per atom. The uncorrected energy comes out at -4.75 eV per atom.

The structure belongs to space group P2_1/m (No. 11); the cell edges are 7.655, 6.281 and 8.736 Å and the angles 90.00°, 106.57° and 90.00°. The asymmetric unit holds Sm at (0.222, 0.250, 0.431), Sm at (0.250, 0.250, 0.937), Cu at (0.221, 0.750, 0.679), Te at (0.075, 0.750, 0.379), Te at (0.079, 0.750, 0.909) and Te at (0.492, 0.504, 0.252).

| no. | E_form (uncorrected) (meV/atom) |
| --- | --- |
| 1 | 679 |
| 2 | -1018 |